Computed, not measured: an optimized crystal structure of HfTl2As at the PBE-GGA level of DFT.

Cell: 8.220 8.220 5.849 Å, 90.00 90.00 90.00°
Space group I-42d (No. 122)
Symmetry-distinct sites (fractional):
Hf: 0.000 0.000 0.000 (multiplicity 4)
Tl: 0.242 0.750 0.625 (multiplicity 8)
As: 0.000 0.000 0.500 (multiplicity 4)

size of the total moment	0.000	μB per cell
crystal system	tetragonal
raw total energy	-4.5238	eV per atom